The following is a PBE+U calculation of Rb2FeF6 after structural relaxation, from the Alexandria database.

```
Rb2FeF6
1.0
6.103 -0.318 0.000
-1.808 7.061 0.000
0.000 0.000 7.770
F Fe Rb
12 2 4
direct
0.882 0.240 0.969
0.618 0.260 0.469
0.386 0.046 0.708
0.267 0.489 0.895
0.118 0.760 0.031
0.233 0.011 0.395
0.382 0.740 0.531
0.614 0.954 0.292
0.733 0.511 0.105
0.886 0.546 0.792
0.114 0.454 0.208
0.767 0.989 0.605
0.000 0.500 0.000
0.500 0.000 0.500
0.861 0.680 0.431
0.139 0.320 0.569
0.361 0.180 0.069
0.639 0.820 0.931
```

## Properties
Space group: P2_1/c, No. 14
Density of states at the Fermi level (states/eV per atom): 0.00
Total magnetization (μB/f.u.): 2.00
Density (g/cm3): 3.43
VASP energy (eV per atom): -4.446